GGA-PBE Mg2InRh, optimized geometry; DFT formation energy = -175 meV/atom; space group = R-3m, No. 166; E_tot = -14.0 eV per cell
1.0
-6.9214 2.8154 -5.2928
-8.4218 0.6396 -3.5370
-8.0621 3.5936 -2.4360
In Mg Rh
1 2 1
Direct
0.7500 0.7500 0.7500 In
0.9881 0.9881 0.9881 Mg
0.5119 0.5119 0.5119 Mg
0.2500 0.2500 0.2500 Rh